Computed, not measured: a geometry-optimized Co2AgSe structure at the GGA-PBE level of DFT.

abc: 4.3888 4.3888 4.3888
angles: 60.00 60.00 60.00
Last column: nearest neighbours and their distance in Å.
Fractional positions:
Co1 0.0000 0.0000 0.0000  4 Se 2.69, 4 Co 2.69
Co2 0.2500 0.2500 0.2500  4 Co 2.69, 4 Ag 2.69
Se1 0.7500 0.7500 0.7500  4 Co 2.69, 4 Ag 2.69
Ag1 0.5000 0.5000 0.5000  4 Co 2.69, 4 Se 2.69

Summary:
For the calculated total energy, the calculation gives -18.356 eV/cell. For the total magnetization, the calculation gives 3.3 μB per formula unit. The raw formation energy comes out at 0.55 eV per atom. The value obtained for the theoretical density is 8.46 g/cm³.



Computed, not measured: a geometry-optimized LaPuCu4 structure at the GGA-PBE level of DFT.

abc: 3.9854 3.9854 8.1409
angles: 104.17 104.17 90.00
Last column: nearest neighbours and their distance in Å.
Fractional positions:
Cu1 0.8290 0.3290 0.6579  3 Cu 2.41
Cu2 0.6710 0.1710 0.3421  3 Cu 2.41
Cu3 0.5824 0.5824 0.1648  3 Cu 2.41-2.52
Cu4 0.4176 0.4176 0.8352  3 Cu 2.41-2.52
La1 0.0000 0.0000 0.0000  12 Cu 3.09-3.29
Pu1 0.2500 0.7500 0.5000  12 Cu 3.07-3.24

Summary:
For the formation energy, the calculation gives -0.06 eV per atom. For the calculated total energy, the calculation gives -36.016 eV/cell. As for the energy relative to the lowest polymorph listed for this composition: 0 meV per atom. For the total magnetization, the calculation gives 5.8 μB per formula unit. The value obtained for the theoretical density is 8.72 g/cm³.



Computed, not measured: a geometry-optimized TlInBi3 structure at the GGA-PBE level of DFT.

abc: 5.8332 5.8332 5.8332
angles: 90.00 90.00 90.00
Last column: nearest neighbours and their distance in Å.
Fractional positions:
In1 0.0000 0.0000 0.0000  6 Bi 2.92
Bi1 0.0000 0.0000 0.5000  2 In 2.92
Bi2 0.0000 0.5000 0.0000  2 In 2.92
Bi3 0.5000 0.0000 0.0000  2 In 2.92
Tl1 0.5000 0.5000 0.5000  12 Bi 4.12

Summary:
For the formation energy, the calculation gives 0.49 eV per atom. For the calculated total energy, the calculation gives -14.315 eV/cell. As for the energy relative to the lowest polymorph listed for this composition: 467 meV per atom. For the total magnetization, the calculation gives 0.0 μB per formula unit. The value obtained for the theoretical density is 7.92 g/cm³.



Computed, not measured: a geometry-optimized SrTeMo2 structure at the GGA-PBE level of DFT.

abc: 3.4032 3.4032 8.0311
angles: 90.00 90.00 90.00
Last column: nearest neighbours and their distance in Å.
Fractional positions:
Mo1 0.0000 0.0000 0.0299  4 Mo 2.68, 4 Te 2.98
Mo2 0.5000 0.5000 0.1777  4 Mo 2.68, 1 Te 2.94
Te1 0.5000 0.5000 0.8111  5 Mo 2.94-2.98
Sr1 0.0000 0.0000 0.4814  4 Sr 3.40, 5 Mo 3.43-3.63, 4 Te 3.58

Summary:
For the calculated total energy, the calculation gives -25.575 eV/cell. For the total magnetization, the calculation gives 0.0 μB per formula unit. The raw formation energy comes out at 0.23 eV per atom. The value obtained for the theoretical density is 7.27 g/cm³.



Computed, not measured: a geometry-optimized Sc2AsBr structure at the GGA-PBE level of DFT.

abc: 3.9091 3.9091 5.4817
angles: 90.00 90.00 90.00
Last column: nearest neighbours and their distance in Å.
Fractional positions:
Sc1 0.0000 0.0000 0.8755  2 As 2.74, 4 Br 2.76
Sc2 0.5000 0.5000 0.3745  2 Br 2.74, 4 As 2.76
Br1 0.5000 0.5000 0.8747  6 Sc 2.74-2.76
As1 0.0000 0.0000 0.3753  6 Sc 2.74-2.76

Summary:
For the calculated total energy, the calculation gives -23.273 eV/cell. For the total magnetization, the calculation gives 0.0 μB per formula unit. The raw formation energy comes out at -1.07 eV per atom. The value obtained for the theoretical density is 4.85 g/cm³.



Computed, not measured: a geometry-optimized RbNbFeTePd structure at the GGA-PBE level of DFT.

abc: 3.6780 3.1813 9.8837
angles: 90.00 98.76 90.00
Last column: nearest neighbours and their distance in Å.
Fractional positions:
Pd1 0.6635 0.5000 0.7350  1 Fe 2.61, 4 Nb 2.88
Fe1 0.8703 0.5000 0.9995  2 Nb 2.41, 2 Te 2.49-2.58, 1 Pd 2.61
Nb1 0.2272 0.0000 0.8928  2 Fe 2.41
Te1 0.4273 0.5000 0.1783  2 Fe 2.49-2.58
Rb1 0.0403 0.0000 0.4683  2 Rb 3.18, 2 Pd 3.54

Summary:
For the calculated total energy, the calculation gives -27.614 eV/cell. As for the energy relative to the lowest polymorph listed for this composition: 74 meV per atom. For the total magnetization, the calculation gives 0.3 μB per formula unit. The raw formation energy comes out at 0.04 eV per atom. The value obtained for the theoretical density is 6.80 g/cm³.



Computed, not measured: a geometry-optimized NiAsRhBr2 structure at the GGA-PBE level of DFT.

abc: 4.9233 4.9233 4.5076
angles: 90.00 90.00 90.00
Last column: nearest neighbours and their distance in Å.
Fractional positions:
Ni1 0.0000 0.0000 0.0000  2 As 2.25, 4 Br 2.46
Rh1 0.5000 0.5000 0.5000  8 Br 3.34, 4 As 3.48
Br1 0.5000 0.0000 0.0000  2 Ni 2.46
Br2 0.0000 0.5000 0.0000  2 Ni 2.46
As1 0.0000 0.0000 0.5000  2 Ni 2.25

Summary:
For the calculated total energy, the calculation gives -17.584 eV/cell. As for the energy relative to the lowest polymorph listed for this composition: 24 meV per atom. For the total magnetization, the calculation gives 1.3 μB per formula unit. The raw formation energy comes out at 0.71 eV per atom. The value obtained for the theoretical density is 6.02 g/cm³.



Computed, not measured: a geometry-optimized SrMgSb2Os structure at the GGA-PBE level of DFT.

abc: 5.2533 5.0245 5.2533
angles: 90.00 90.00 90.00
Last column: nearest neighbours and their distance in Å.
Fractional positions:
Mg1 0.0000 0.5000 0.0000  2 Os 2.51
Sr1 0.5000 0.5000 0.5000  8 Sb 3.63, 4 Mg 3.71
Sb1 0.0000 0.0000 0.5000  2 Os 2.63
Sb2 0.5000 0.0000 0.0000  2 Os 2.63
Os1 0.0000 0.0000 0.0000  2 Mg 2.51, 4 Sb 2.63

Summary:
For the calculated total energy, the calculation gives -22.647 eV/cell. For the total magnetization, the calculation gives 0.0 μB per formula unit. The raw formation energy comes out at 0.02 eV per atom. The value obtained for the theoretical density is 6.53 g/cm³.



Computed, not measured: a geometry-optimized Cd2Ga2I7 structure at the GGA-PBE level of DFT.

abc: 7.4657 8.3851 8.3851
angles: 103.81 95.28 95.28
Last column: nearest neighbours and their distance in Å.
Fractional positions:
I1 0.2222 0.4481 0.0779  1 Cd 2.80
I2 0.7778 0.9221 0.5519  1 Cd 2.80
I3 0.7661 0.3986 0.3986  1 Cd 2.87, 2 Ga 3.12
I4 0.5000 0.0000 0.0000  2 Cd 2.86
I5 0.2339 0.6014 0.6014  1 Cd 2.87, 2 Ga 3.12
I6 0.7778 0.5519 0.9221  1 Cd 2.80
I7 0.2222 0.0779 0.4481  1 Cd 2.80
Ga1 0.0000 0.6875 0.3125  6 I 3.12-3.41
Ga2 0.0000 0.3125 0.6875  6 I 3.12-3.41
Cd1 0.4045 0.2580 0.2580  4 I 2.80-2.87
Cd2 0.5955 0.7420 0.7420  4 I 2.80-2.87

Summary:
For the calculated total energy, the calculation gives -22.829 eV/cell. For the total magnetization, the calculation gives 0.0 μB per formula unit. The raw formation energy comes out at -0.37 eV per atom. The value obtained for the theoretical density is 4.13 g/cm³.



Computed, not measured: a geometry-optimized K2CaPuBr6 structure at the GGA-PBE level of DFT.

abc: 7.7565 8.2103 11.2284
angles: 90.00 89.81 90.00
Last column: nearest neighbours and their distance in Å.
Fractional positions:
Br1 0.1879 0.2017 0.4399  1 Ca 2.93, 1 Pu 3.01
Br2 0.6963 0.3063 0.5586  1 Ca 2.92, 1 Pu 3.01
Br3 0.8121 0.7983 0.5601  1 Ca 2.93, 1 Pu 3.01
Br4 0.6879 0.2983 0.9399  1 Ca 2.93, 1 Pu 3.01
Br5 0.8842 0.5375 0.2546  1 Ca 2.92, 1 Pu 3.01
Br6 0.6158 0.0375 0.2454  1 Ca 2.92, 1 Pu 3.01
Br7 0.1158 0.4625 0.7454  1 Ca 2.92, 1 Pu 3.01
Br8 0.8037 0.8063 0.9414  1 Ca 2.92, 1 Pu 3.01
Br9 0.1963 0.1937 0.0586  1 Ca 2.92, 1 Pu 3.01
Br10 0.3842 0.9625 0.7546  1 Ca 2.92, 1 Pu 3.01
Br11 0.3121 0.7017 0.0601  1 Ca 2.93, 1 Pu 3.01
Br12 0.3037 0.6937 0.4414  1 Ca 2.92, 1 Pu 3.01
Ca1 0.5000 0.0000 0.0000  6 Br 2.92-2.93
Ca2 0.0000 0.5000 0.5000  6 Br 2.92-2.93
K1 0.0272 0.9226 0.2510  6 Br 3.33-3.57
K2 0.9728 0.0774 0.7490  6 Br 3.33-3.57
K3 0.5272 0.5774 0.7510  6 Br 3.33-3.57
K4 0.4728 0.4226 0.2490  6 Br 3.33-3.57
Pu1 0.0000 0.5000 0.0000  6 Br 3.01
Pu2 0.5000 0.0000 0.5000  6 Br 3.01

Summary:
For the calculated total energy, the calculation gives -91.557 eV/cell. For the total magnetization, the calculation gives 6.0 μB per formula unit. The raw formation energy comes out at -1.72 eV per atom. The value obtained for the theoretical density is 3.91 g/cm³.



Computed, not measured: a geometry-optimized Ho5Si10Ir4 structure at the GGA-PBE level of DFT.

abc: 12.6220 12.6220 4.2542
angles: 90.00 90.00 90.00
Last column: nearest neighbours and their distance in Å.
Fractional positions:
Si1 0.8433 0.0016 0.5000  2 Ir 2.41
Si2 0.2013 0.1642 0.0000  2 Ir 2.39-2.50, 1 Si 2.40
Si3 0.7013 0.3358 0.0000  2 Ir 2.39-2.50, 1 Si 2.40
Si4 0.7987 0.8358 0.0000  2 Ir 2.39-2.50, 1 Si 2.40
Si5 0.4984 0.6567 0.5000  2 Ir 2.41
Si6 0.0662 0.4338 0.0000  1 Si 2.36, 2 Ir 2.46
Si7 0.3433 0.4984 0.5000  2 Ir 2.41
Si8 0.5662 0.0662 0.0000  1 Si 2.36, 2 Ir 2.46
Si9 0.1567 0.9984 0.5000  2 Ir 2.41
Si10 0.5016 0.3433 0.5000  2 Ir 2.41
Si11 0.8358 0.2013 0.0000  2 Ir 2.39-2.50, 1 Si 2.40
Si12 0.1642 0.7987 0.0000  2 Ir 2.39-2.50, 1 Si 2.40
Si13 0.9338 0.5662 0.0000  1 Si 2.36, 2 Ir 2.46
Si14 0.0016 0.1567 0.5000  2 Ir 2.41
Si15 0.3358 0.2987 0.0000  2 Ir 2.39-2.50, 1 Si 2.40
Si16 0.9984 0.8433 0.5000  2 Ir 2.41
Si17 0.2987 0.6642 0.0000  2 Ir 2.39-2.50, 1 Si 2.40
Si18 0.6642 0.7013 0.0000  2 Ir 2.39-2.50, 1 Si 2.40
Si19 0.4338 0.9338 0.0000  1 Si 2.36, 2 Ir 2.46
Si20 0.6567 0.5016 0.5000  2 Ir 2.41
Ir1 0.5200 0.2551 0.0000  5 Si 2.39-2.50
Ir2 0.2449 0.9800 0.0000  5 Si 2.39-2.50
Ir3 0.2551 0.4800 0.0000  5 Si 2.39-2.50
Ir4 0.0200 0.2449 0.0000  5 Si 2.39-2.50
Ir5 0.7449 0.5200 0.0000  5 Si 2.39-2.50
Ir6 0.7551 0.0200 0.0000  5 Si 2.39-2.50
Ir7 0.9800 0.7551 0.0000  5 Si 2.39-2.50
Ir8 0.4800 0.7449 0.0000  5 Si 2.39-2.50
Ho1 0.6143 0.8857 0.5000  10 Si 3.18-3.24, 4 Ir 3.25
Ho2 0.5000 0.5000 0.0000  8 Si 2.90, 4 Ir 3.10
Ho3 0.8247 0.6753 0.5000  8 Si 2.88-3.05, 4 Ir 3.06
Ho4 0.1143 0.6143 0.5000  10 Si 3.18-3.24, 4 Ir 3.25
Ho5 0.3247 0.8247 0.5000  8 Si 2.88-3.05, 4 Ir 3.06
Ho6 0.3857 0.1143 0.5000  10 Si 3.18-3.24, 4 Ir 3.25
Ho7 0.6753 0.1753 0.5000  8 Si 2.88-3.05, 4 Ir 3.06
Ho8 0.0000 0.0000 0.0000  8 Si 2.90, 4 Ir 3.10
Ho9 0.1753 0.3247 0.5000  8 Si 2.88-3.05, 4 Ir 3.06
Ho10 0.8857 0.3857 0.5000  10 Si 3.18-3.24, 4 Ir 3.25

Summary:
For the calculated total energy, the calculation gives -259.048 eV/cell. For the total magnetization, the calculation gives 0.0 μB per formula unit. The raw formation energy comes out at -0.89 eV per atom. The value obtained for the theoretical density is 9.18 g/cm³.



Computed, not measured: a geometry-optimized AgBiPd2Au2 structure at the GGA-PBE level of DFT.

abc: 4.0750 4.0750 9.3603
angles: 77.43 77.43 60.00
Last column: nearest neighbours and their distance in Å.
Fractional positions:
Bi1 0.0000 0.0000 0.0000  6 Au 2.91
Pd1 0.7812 0.7812 0.6564  3 Au 2.74, 3 Ag 2.75
Pd2 0.2188 0.2188 0.3436  3 Au 2.74, 3 Ag 2.75
Au1 0.6037 0.6037 0.1889  3 Pd 2.74, 1 Ag 2.82, 3 Bi 2.91
Au2 0.3963 0.3963 0.8111  3 Pd 2.74, 1 Ag 2.82, 3 Bi 2.91
Ag1 0.5000 0.5000 0.5000  6 Pd 2.75, 2 Au 2.82

Summary:
For the formation energy, the calculation gives 0.17 eV per atom. For the calculated total energy, the calculation gives -22.656 eV/cell. For the total magnetization, the calculation gives 0.0 μB per formula unit. The value obtained for the theoretical density is 11.77 g/cm³.